(1)
Entry from the Alexandria database: a PBEsol-optimized structure of Cr2CuCl (SCAN).

a b c (Å): 2.7122 4.2006 4.2006
angles (deg): 90.00 90.00 90.00
Site moments in Bohr magnetons follow the coordinates.
Atoms (fractional coordinates):
Cr1 0.0000 0.0000 0.5000  3.41
Cr2 0.0000 0.5000 0.0000  3.41
Cu1 0.5000 0.5000 0.5000  0.19
Cl1 0.5000 0.0000 0.0000  -0.01

Its total energy is -14.3346 eV per atom. Its mass density is 7.044 g cm⁻³. For the distance to the lowest polymorph of the same formula, the calculation gives 526 meV/atom.

---

(2)
Entry from the Alexandria database: a PBEsol-optimized structure of Cr2CuCl (SCAN).

a b c (Å): 4.0408 4.0408 4.0408
angles (deg): 60.00 60.00 60.00
Atoms (fractional coordinates):
Cr1 0.2500 0.2500 0.2500
Cr2 0.7500 0.7500 0.7500
Cu1 0.0000 0.0000 0.0000
Cl1 0.5000 0.5000 0.5000

Its total energy is -13.9401 eV per atom. Its mass density is 7.225 g cm⁻³. For the distance to the lowest polymorph of the same formula, the calculation gives 920 meV/atom.

---

(3)
Entry from the Alexandria database: a PBEsol-optimized structure of CrCuCl2 (SCAN).

a b c (Å): 3.1209 4.2590 6.5141
angles (deg): 109.03 103.86 90.00
Site moments in Bohr magnetons follow the coordinates.
Atoms (fractional coordinates):
Cr1 0.0000 0.5000 0.0000  3.05
Cu1 0.5000 0.0000 0.0000  0.02
Cl1 0.6426 0.6420 0.2853  -0.02
Cl2 0.3574 0.3580 0.7147  -0.02

Its total energy is -12.8670 eV per atom. Its mass density is 3.910 g cm⁻³.

---

(4)
Entry from the Alexandria database: a PBEsol-optimized structure of Cr2CuCl (SCAN).

a b c (Å): 2.6738 2.6738 7.9043
angles (deg): 80.26 80.26 60.00
Atoms (fractional coordinates):
Cr1 0.2546 0.2546 0.2363
Cr2 0.7454 0.7454 0.7637
Cu1 0.5000 0.5000 0.5000
Cl1 0.0000 0.0000 0.0000

Its total energy is -14.3393 eV per atom. Its mass density is 7.023 g cm⁻³. For the distance to the lowest polymorph of the same formula, the calculation gives 521 meV/atom.

---

(5)
Entry from the Alexandria database: a PBEsol-optimized structure of CrCuPCl2 (SCAN).

a b c (Å): 4.6193 4.5779 4.5779
angles (deg): 90.00 90.00 90.00
Site moments in Bohr magnetons follow the coordinates.
Atoms (fractional coordinates):
Cr1 0.0000 0.0000 0.0000  2.77
P1 0.5000 0.0000 0.0000  -0.43
Cu1 0.5000 0.5000 0.5000  -0.04
Cl1 0.0000 0.0000 0.5000  -0.03
Cl2 0.0000 0.5000 0.0000  -0.03

Its total energy is -11.9053 eV per atom. Its mass density is 3.729 g cm⁻³.

---

(6)
Entry from the Alexandria database: a PBEsol-optimized structure of CrHCl2F (SCAN).

a b c (Å): 2.9445 4.6041 4.6041
angles (deg): 90.00 90.00 90.00
Site moments in Bohr magnetons follow the coordinates.
Atoms (fractional coordinates):
Cr1 0.5000 0.5000 0.5000  3.88
F1 0.5000 0.0000 0.0000  0.01
H1 0.0000 0.0000 0.0000  0.00
Cl1 0.0000 0.0000 0.5000  -0.09
Cl2 0.0000 0.5000 0.0000  -0.09

Its total energy is -8.7759 eV per atom. Its mass density is 3.802 g cm⁻³.

---

(7)
Entry from the Alexandria database: a PBEsol-optimized structure of ZnCrH15N5Cl4F (SCAN).

a b c (Å): 7.8362 9.0340 9.1969
angles (deg): 90.00 115.22 90.00
Site moments in Bohr magnetons follow the coordinates.
Atoms (fractional coordinates):
Zn1 0.1140 0.4709 0.2280  0.00
Zn2 0.8860 0.9709 0.7720  0.00
Cr1 0.4004 0.5835 0.8008  2.89
Cr2 0.5996 0.0835 0.1992  2.89
H1 0.7276 0.6381 0.0300  0.00
H2 0.3024 0.6381 0.0300  0.00
H3 0.2724 0.1381 0.9700  0.00
H4 0.6976 0.1381 0.9700  0.00
H5 0.6234 0.7997 0.9636  0.00
H6 0.3402 0.7997 0.9636  0.00
H7 0.3766 0.2997 0.0364  0.00
H8 0.6598 0.2997 0.0364  0.00
H9 0.7291 0.7094 0.8644  0.00
H10 0.1353 0.7094 0.8644  0.00
H11 0.2709 0.2094 0.1356  0.00
H12 0.8647 0.2094 0.1356  0.00
H13 0.2149 0.8203 0.6397  0.00
H14 0.4248 0.8203 0.6397  0.00
H15 0.7851 0.3203 0.3603  0.00
H16 0.5752 0.3203 0.3603  0.00
H17 0.2567 0.7110 0.5133  0.00
H18 0.7433 0.2110 0.4867  0.00
H19 0.1716 0.3583 0.6587  0.00
H20 0.4870 0.3583 0.6587  0.00
H21 0.8284 0.8583 0.3413  0.00
H22 0.5130 0.8583 0.3413  0.00
H23 0.0590 0.5129 0.5740  0.00
H24 0.5150 0.5129 0.5740  0.00
H25 0.9410 0.0129 0.4260  0.00
H26 0.4850 0.0129 0.4260  0.00
H27 0.0825 0.4621 0.7569  0.00
H28 0.6744 0.4621 0.7569  0.00
H29 0.9175 0.9621 0.2431  0.00
H30 0.3256 0.9621 0.2431  0.00
N1 0.6468 0.6960 0.9264  -0.03
N2 0.2796 0.6960 0.9264  -0.03
N3 0.3532 0.1960 0.0736  -0.03
N4 0.7204 0.1960 0.0736  -0.03
N5 0.3146 0.7518 0.6292  -0.03
N6 0.6854 0.2518 0.3708  -0.03
N7 0.1509 0.4668 0.6823  -0.02
N8 0.5314 0.4668 0.6823  -0.02
N9 0.8491 0.9668 0.3177  -0.02
N10 0.4686 0.9668 0.3177  -0.02
Cl1 0.1761 0.2473 0.3521  0.00
Cl2 0.8239 0.7473 0.6479  0.00
Cl3 0.9796 0.4384 0.9593  0.00
Cl4 0.0204 0.9384 0.0407  0.00
Cl5 0.9137 0.5847 0.3103  0.00
Cl6 0.3966 0.5847 0.3103  0.00
Cl7 0.0863 0.0847 0.6897  0.00
Cl8 0.6034 0.0847 0.6897  0.00
F1 0.4802 0.4358 0.9604  0.03
F2 0.5198 0.9358 0.0396  0.03

Its total energy is -6.9741 eV per atom. Its mass density is 2.049 g cm⁻³.

---

(8)
Entry from the Alexandria database: a PBEsol-optimized structure of MnCrClF2 (SCAN).

a b c (Å): 3.8293 3.8293 5.9172
angles (deg): 90.00 90.00 90.00
Site moments in Bohr magnetons follow the coordinates.
Atoms (fractional coordinates):
Cr1 0.0000 0.0000 0.0000  3.66
F1 0.0000 0.5000 0.0000  0.04
F2 0.5000 0.0000 0.0000  0.04
Mn1 0.5000 0.5000 0.5000  4.61
Cl1 0.0000 0.0000 0.5000  0.11

Its total energy is -11.9954 eV per atom. Its mass density is 3.452 g cm⁻³.

---

(9)
Entry from the Alexandria database: a PBEsol-optimized structure of CrN2ClF (SCAN).

a b c (Å): 3.8199 3.7253 3.7253
angles (deg): 90.00 90.00 90.00
Site moments in Bohr magnetons follow the coordinates.
Atoms (fractional coordinates):
Cr1 0.0000 0.0000 0.0000  2.09
N1 0.0000 0.0000 0.5000  -0.86
N2 0.0000 0.5000 0.0000  -0.86
F1 0.5000 0.0000 0.0000  0.06
Cl1 0.5000 0.5000 0.5000  0.12

Its total energy is -9.5997 eV per atom. Its mass density is 4.212 g cm⁻³. For the distance to the lowest polymorph of the same formula, the calculation gives 0 meV/atom.

---

(10)
Entry from the Alexandria database: a PBEsol-optimized structure of CrN2ClF (SCAN).

a b c (Å): 3.5078 3.5078 4.7812
angles (deg): 90.00 90.00 90.00
Site moments in Bohr magnetons follow the coordinates.
Atoms (fractional coordinates):
Cr1 0.5000 0.5000 0.5000  4.04
N1 0.0000 0.5000 0.0000  -0.39
N2 0.5000 0.0000 0.0000  -0.39
F1 0.0000 0.0000 0.5000  -0.03
Cl1 0.0000 0.0000 0.0000  -0.04

Its total energy is -8.1554 eV per atom. Its mass density is 3.795 g cm⁻³. For the distance to the lowest polymorph of the same formula, the calculation gives 1444 meV/atom.

---

(11)
Entry from the Alexandria database: a PBEsol-optimized structure of SrCrClF2 (SCAN).

a b c (Å): 4.5083 4.5083 5.8468
angles (deg): 90.00 90.00 90.00
Site moments in Bohr magnetons follow the coordinates.
Atoms (fractional coordinates):
Sr1 0.0000 0.0000 0.0000  0.00
F1 0.0000 0.5000 0.0000  0.00
F2 0.5000 0.0000 0.0000  0.00
Cl1 0.0000 0.0000 0.5000  -0.03
Cr1 0.5000 0.5000 0.5000  4.45

Its total energy is -13.3494 eV per atom. Its mass density is 2.977 g cm⁻³.

---

(12)
Entry from the Alexandria database: a PBEsol-optimized structure of Cr2FeCl (SCAN).

a b c (Å): 2.6871 2.6871 6.1054
angles (deg): 90.00 90.00 90.00
Site moments in Bohr magnetons follow the coordinates.
Atoms (fractional coordinates):
Cr1 0.0000 0.0000 0.7485  -0.96
Cr2 0.0000 0.0000 0.2515  -0.96
Fe1 0.5000 0.5000 0.0000  2.46
Cl1 0.5000 0.5000 0.5000  0.01

Its total energy is -15.2096 eV per atom. Its mass density is 7.356 g cm⁻³. For the distance to the lowest polymorph of the same formula, the calculation gives 0 meV/atom.